Below is NaCoF2 after structural relaxation, with properties calculated at the PBE+U level.

## Properties
crystal system = trigonal
uncorrected energy = -17.4 eV per cell
distance to the lowest polymorph of the same formula = 0.000 eV per formula unit
SG = R-3m, No. 166

Cell: 6.4687 6.4687 6.4687 Å, 30.03 30.03 30.03°
Atoms (fractional coordinates):
Na: 0.0000 0.0000 0.0000
Co: 0.5000 0.5000 0.5000
F: 0.4000 0.4000 0.4000
F: 0.6000 0.6000 0.6000